[1]
{"formula": "LiAcGaAg6", "functional": "PBE-GGA", "state": "optimized geometry", "total_magnetization_mub_per_atom": 0.00, "formation_energy_ev_per_fu": 0.34, "lattice_angstrom": [[-2.777, 5.067, 7.412], [2.777, -5.067, 7.412], [2.777, 5.067, -7.412]], "species": ["Li", "Li", "Ac", "Ac", "Ga", "Ga", "Ag", "Ag", "Ag", "Ag", "Ag", "Ag", "Ag", "Ag", "Ag", "Ag", "Ag", "Ag"], "fractional_positions": [[0.500, 0.000, 0.000], [0.500, 0.500, 0.500], [0.143, 0.393, 0.750], [0.857, 0.607, 0.250], [0.000, 0.000, 0.000], [0.500, 0.000, 0.500], [0.177, 0.402, 0.267], [0.177, 0.910, 0.775], [0.307, 0.057, 0.250], [0.349, 0.599, 0.750], [0.365, 0.090, 0.767], [0.365, 0.598, 0.275], [0.635, 0.402, 0.725], [0.635, 0.910, 0.233], [0.651, 0.401, 0.250], [0.693, 0.943, 0.750], [0.823, 0.090, 0.225], [0.823, 0.598, 0.733]]}

---

[2]
{"formula": "La2HoEr6Tm3", "functional": "PBE-GGA", "state": "optimized geometry", "total_magnetization_mub_per_atom": 0.00, "formation_energy_ev_per_fu": 0.34, "lattice_angstrom": [[3.073, -5.320, 0.000], [3.073, 5.320, 0.000], [-2.047, 0.000, 11.547]], "species": ["La", "La", "Ho", "Er", "Er", "Er", "Er", "Er", "Er", "Tm", "Tm", "Tm"], "fractional_positions": [[0.166, 0.834, 0.000], [0.834, 0.166, 0.000], [0.500, 0.500, 0.000], [0.082, 0.414, 0.745], [0.254, 0.254, 0.256], [0.414, 0.082, 0.745], [0.586, 0.918, 0.255], [0.746, 0.746, 0.744], [0.918, 0.586, 0.255], [0.000, 0.000, 0.500], [0.334, 0.666, 0.500], [0.666, 0.334, 0.500]]}

---

[3]
{"formula": "LuMg2Zn", "functional": "PBE-GGA", "state": "optimized geometry", "total_magnetization_mub_per_atom": 0.00, "formation_energy_ev_per_fu": -0.43, "de_polymorph_ev_per_fu": 0.00, "lattice_angstrom": [[4.292, 0.000, 0.000], [0.000, 4.292, 0.000], [0.000, 0.000, 4.786]], "species": ["Lu", "Mg", "Mg", "Zn"], "fractional_positions": [[0.000, 0.000, 0.000], [0.000, 0.500, 0.500], [0.500, 0.000, 0.500], [0.500, 0.500, 0.000]]}

---

[4]
{"formula": "Sm8Co3IrI4", "functional": "PBE-GGA", "state": "optimized geometry", "total_magnetization_mub_per_atom": 0.00, "formation_energy_uncorrected_mev_per_atom": -681, "lattice_angstrom": [[7.032, -4.059, 0.000], [7.032, 4.059, 0.000], [-4.688, 0.000, 8.028]], "species": ["Sm", "Sm", "Sm", "Sm", "Sm", "Sm", "Sm", "Sm", "Co", "Co", "Co", "Ir", "I", "I", "I", "I"], "fractional_positions": [[0.220, 0.732, 0.682], [0.227, 0.227, 0.680], [0.268, 0.780, 0.318], [0.269, 0.269, 0.319], [0.731, 0.731, 0.681], [0.732, 0.220, 0.682], [0.773, 0.773, 0.320], [0.780, 0.268, 0.318], [0.000, 0.000, 0.500], [0.000, 0.500, 0.500], [0.500, 0.000, 0.500], [0.500, 0.500, 0.500], [0.000, 0.000, 0.000], [0.000, 0.500, 0.000], [0.500, 0.000, 0.000], [0.500, 0.500, 0.000]]}

---

[5]
{"formula": "MoIrRu2", "functional": "PBE-GGA", "state": "optimized geometry", "total_magnetization_mub_per_atom": 0.00, "formation_energy_ev_per_fu": -0.15, "de_polymorph_ev_per_fu": 0.52, "lattice_angstrom": [[4.532, -1.368, 0.000], [4.532, 1.368, 0.000], [-0.849, 0.000, 4.686]], "species": ["Mo", "Ir", "Ru", "Ru"], "fractional_positions": [[0.000, 0.000, 0.000], [0.500, 0.500, 0.500], [0.249, 0.249, 0.750], [0.751, 0.751, 0.250]]}

---

[6]
{"formula": "CrRu2Br", "functional": "PBE-GGA", "state": "optimized geometry", "total_magnetization_mub_per_atom": 0.13, "formation_energy_uncorrected_mev_per_atom": 607, "de_polymorph_ev_per_fu": 0.37, "lattice_angstrom": [[1.425, 0.823, 8.563], [-1.425, 0.823, 8.563], [0.000, -1.645, 8.563]], "species": ["Cr", "Ru", "Ru", "Br"], "fractional_positions": [[0.000, 0.000, 0.000], [0.495, 0.495, 0.495], [0.748, 0.748, 0.748], [0.262, 0.262, 0.262]]}

---

[7]
{"formula": "Ti4Si7Ni4", "functional": "PBE-GGA", "state": "optimized geometry", "total_magnetization_mub_per_atom": 0.00, "formation_energy_uncorrected_mev_per_atom": -714, "lattice_angstrom": [[-6.295, 6.295, 2.474], [6.295, -6.295, 2.474], [6.295, 6.295, -2.474]], "species": ["Ti", "Ti", "Ti", "Ti", "Ti", "Ti", "Ti", "Ti", "Si", "Si", "Si", "Si", "Si", "Si", "Si", "Si", "Si", "Si", "Si", "Si", "Si", "Si", "Ni", "Ni", "Ni", "Ni", "Ni", "Ni", "Ni", "Ni"], "fractional_positions": [[0.000, 0.190, 0.190], [0.000, 0.810, 0.810], [0.190, 0.000, 0.190], [0.366, 0.366, 0.731], [0.366, 0.634, 0.000], [0.634, 0.366, 0.000], [0.634, 0.634, 0.269], [0.810, 0.000, 0.810], [0.000, 0.407, 0.407], [0.000, 0.593, 0.593], [0.204, 0.204, 0.409], [0.204, 0.796, 0.000], [0.212, 0.500, 0.712], [0.251, 0.251, 0.000], [0.407, 0.000, 0.407], [0.500, 0.212, 0.712], [0.500, 0.788, 0.288], [0.593, 0.000, 0.593], [0.749, 0.749, 0.000], [0.788, 0.500, 0.288], [0.796, 0.204, 0.000], [0.796, 0.796, 0.591], [0.101, 0.601, 0.203], [0.101, 0.899, 0.500], [0.399, 0.601, 0.500], [0.399, 0.899, 0.797], [0.601, 0.101, 0.203], [0.601, 0.399, 0.500], [0.899, 0.101, 0.500], [0.899, 0.399, 0.797]]}

---

[8]
{"formula": "Li2TcTeO6", "functional": "PBE-GGA", "state": "optimized geometry", "total_magnetization_mub_per_atom": 0.10, "formation_energy_uncorrected_mev_per_atom": -1381, "lattice_angstrom": [[5.571, 0.000, 0.000], [0.000, 5.571, 0.000], [0.000, 0.000, 4.904]], "species": ["Li", "Li", "Tc", "Te", "O", "O", "O", "O", "O", "O"], "fractional_positions": [[0.000, 0.500, 0.000], [0.500, 0.000, 0.000], [0.000, 0.000, 0.729], [0.500, 0.500, 0.756], [0.000, 0.000, 0.382], [0.232, 0.232, 0.859], [0.232, 0.768, 0.859], [0.500, 0.500, 0.382], [0.768, 0.232, 0.859], [0.768, 0.768, 0.859]]}

---

[9]
{"formula": "Rb2H3O2", "functional": "PBE-GGA", "state": "optimized geometry", "total_magnetization_mub_per_atom": 0.00, "total_energy_ev_per_atom": -4.13, "lattice_angstrom": [[4.910, 0.000, 0.000], [0.000, 4.070, 0.000], [-0.878, 0.000, 7.444]], "species": ["Rb", "Rb", "H", "H", "H", "O", "O"], "fractional_positions": [[0.189, 0.000, 0.209], [0.811, 0.000, 0.791], [0.311, 0.500, 0.778], [0.500, 0.500, 0.000], [0.689, 0.500, 0.222], [0.279, 0.500, 0.905], [0.721, 0.500, 0.095]]}

---

[10]
{"formula": "Pr3Y4Se8", "functional": "PBE-GGA", "state": "optimized geometry", "total_magnetization_mub_per_atom": 0.00, "formation_energy_uncorrected_mev_per_atom": -1850, "lattice_angstrom": [[5.882, -5.886, 0.000], [5.882, 5.886, 0.000], [-5.841, 0.000, 5.889]], "species": ["Pr", "Pr", "Pr", "Y", "Y", "Y", "Y", "Se", "Se", "Se", "Se", "Se", "Se", "Se", "Se"], "fractional_positions": [[0.000, 0.000, 0.000], [0.000, 0.500, 0.000], [0.500, 0.000, 0.000], [0.000, 0.500, 0.500], [0.500, 0.000, 0.500], [0.500, 0.500, 0.000], [0.500, 0.500, 0.500], [0.251, 0.749, 0.500], [0.255, 0.255, 0.510], [0.255, 0.745, 0.000], [0.257, 0.257, 0.003], [0.743, 0.743, 0.997], [0.745, 0.255, 0.000], [0.745, 0.745, 0.490], [0.749, 0.251, 0.500]]}

---

[11]
{"formula": "Mn5Sb", "functional": "PBE-GGA", "state": "optimized geometry", "total_magnetization_mub_per_atom": 0.51, "formation_energy_uncorrected_mev_per_atom": 76, "de_polymorph_ev_per_fu": 0.00, "lattice_angstrom": [[1.920, -5.335, 0.000], [1.920, 5.335, 0.000], [0.000, 0.000, 3.801]], "species": ["Mn", "Mn", "Mn", "Mn", "Mn", "Sb"], "fractional_positions": [[0.000, 0.000, 0.000], [0.179, 0.821, 0.500], [0.322, 0.678, 0.000], [0.678, 0.322, 0.000], [0.821, 0.179, 0.500], [0.500, 0.500, 0.500]]}

---

[12]
{"formula": "ScCd", "functional": "PBE-GGA", "state": "optimized geometry", "total_magnetization_mub_per_atom": 0.00, "formation_energy_ev_per_fu": -0.29, "lattice_angstrom": [[1.661, 0.959, 4.890], [-1.661, 0.959, 4.890], [0.000, -1.918, 4.890]], "species": ["Sc", "Cd"], "fractional_positions": [[0.000, 0.000, 0.000], [0.500, 0.500, 0.500]]}

---

[13]
{"formula": "TiPb3N", "functional": "PBE-GGA", "state": "optimized geometry", "total_magnetization_mub_per_atom": 0.00, "formation_energy_uncorrected_mev_per_atom": 821, "de_polymorph_ev_per_fu": 0.00, "lattice_angstrom": [[4.904, 0.000, 0.000], [0.000, 4.904, 0.000], [0.000, 0.000, 4.904]], "species": ["Ti", "Pb", "Pb", "Pb", "N"], "fractional_positions": [[0.000, 0.000, 0.000], [0.000, 0.500, 0.500], [0.500, 0.000, 0.500], [0.500, 0.500, 0.000], [0.500, 0.500, 0.500]]}

---

[14]
{"formula": "Rb3La3MnS8", "functional": "PBE-GGA", "state": "optimized geometry", "total_magnetization_mub_per_atom": 0.20, "formation_energy_uncorrected_mev_per_atom": -1532, "lattice_angstrom": [[4.141, 2.391, 7.804], [-4.141, 2.391, 7.804], [0.000, -4.782, 7.804]], "species": ["Rb", "Rb", "Rb", "La", "La", "La", "Mn", "S", "S", "S", "S", "S", "S", "S", "S"], "fractional_positions": [[0.000, 0.500, 0.500], [0.500, 0.000, 0.500], [0.500, 0.500, 0.000], [0.000, 0.000, 0.500], [0.000, 0.500, 0.000], [0.500, 0.000, 0.000], [0.500, 0.500, 0.500], [0.234, 0.234, 0.234], [0.272, 0.702, 0.702], [0.298, 0.298, 0.728], [0.298, 0.728, 0.298], [0.702, 0.272, 0.702], [0.702, 0.702, 0.272], [0.728, 0.298, 0.298], [0.766, 0.766, 0.766]]}

---

[15]
{"formula": "Ho6Zn5Si", "functional": "PBE-GGA", "state": "optimized geometry", "total_magnetization_mub_per_atom": 0.00, "formation_energy_uncorrected_mev_per_atom": -399, "lattice_angstrom": [[4.999, 0.000, 0.000], [0.000, 7.041, 0.000], [-2.492, 0.000, 7.539]], "species": ["Ho", "Ho", "Ho", "Ho", "Ho", "Ho", "Zn", "Zn", "Zn", "Zn", "Zn", "Si"], "fractional_positions": [[0.000, 0.243, 0.000], [0.000, 0.757, 0.000], [0.336, 0.248, 0.672], [0.336, 0.752, 0.672], [0.664, 0.248, 0.328], [0.664, 0.752, 0.328], [0.167, 0.500, 0.335], [0.176, 0.000, 0.353], [0.500, 0.500, 0.000], [0.824, 0.000, 0.647], [0.833, 0.500, 0.665], [0.500, 0.000, 0.000]]}

---

[16]
{"formula": "ZnAgSeN2", "functional": "PBE-GGA", "state": "optimized geometry", "total_magnetization_mub_per_atom": 0.73, "formation_energy_uncorrected_mev_per_atom": 1403, "de_polymorph_ev_per_fu": 0.00, "lattice_angstrom": [[3.901, 0.000, 0.000], [0.000, 3.901, 0.000], [0.000, 0.000, 5.809]], "species": ["Zn", "Ag", "Se", "N", "N"], "fractional_positions": [[0.000, 0.000, 0.000], [0.500, 0.500, 0.500], [0.000, 0.000, 0.500], [0.000, 0.500, 0.000], [0.500, 0.000, 0.000]]}

---

[17]
{"formula": "Y3AlN", "functional": "PBE-GGA", "state": "optimized geometry", "total_magnetization_mub_per_atom": 0.00, "formation_energy_uncorrected_mev_per_atom": -799, "lattice_angstrom": [[0.000, 4.740, 6.668], [3.498, 0.000, 6.668], [3.498, 4.740, 0.000]], "species": ["Y", "Y", "Y", "Y", "Y", "Y", "Al", "Al", "N", "N"], "fractional_positions": [[0.000, 0.500, 0.000], [0.122, 0.628, 0.372], [0.372, 0.878, 0.122], [0.500, 0.000, 0.500], [0.628, 0.122, 0.878], [0.878, 0.372, 0.628], [0.265, 0.735, 0.735], [0.735, 0.265, 0.265], [0.250, 0.250, 0.250], [0.750, 0.750, 0.750]]}

---

[18]
{"formula": "CaTi2PbO6", "functional": "PBE-GGA", "state": "optimized geometry", "total_magnetization_mub_per_atom": 0.00, "formation_energy_uncorrected_mev_per_atom": -2720, "de_polymorph_ev_per_fu": 0.00, "lattice_angstrom": [[3.764, 0.000, 0.000], [0.000, 3.807, 4.636], [0.000, -3.807, 4.636]], "species": ["Ca", "Ti", "Ti", "Pb", "O", "O", "O", "O", "O", "O"], "fractional_positions": [[0.000, 0.000, 0.000], [0.500, 0.466, 0.956], [0.500, 0.956, 0.466], [0.000, 0.477, 0.477], [0.000, 0.403, 0.897], [0.000, 0.897, 0.403], [0.500, 0.101, 0.695], [0.500, 0.181, 0.181], [0.500, 0.634, 0.634], [0.500, 0.695, 0.101]]}

---

[19]
{"formula": "La2NdTe4", "functional": "PBE-GGA", "state": "optimized geometry", "total_magnetization_mub_per_atom": 0.00, "formation_energy_uncorrected_mev_per_atom": -1497, "de_polymorph_ev_per_fu": 0.27, "lattice_angstrom": [[2.200, -7.582, 0.000], [2.200, 7.582, 0.000], [0.000, 0.000, 15.413]], "species": ["La", "La", "La", "La", "Nd", "Nd", "Te", "Te", "Te", "Te", "Te", "Te", "Te", "Te"], "fractional_positions": [[0.132, 0.868, 0.571], [0.132, 0.868, 0.929], [0.868, 0.132, 0.071], [0.868, 0.132, 0.429], [0.373, 0.627, 0.750], [0.627, 0.373, 0.250], [0.026, 0.974, 0.750], [0.221, 0.779, 0.124], [0.221, 0.779, 0.376], [0.500, 0.500, 0.000], [0.500, 0.500, 0.500], [0.779, 0.221, 0.624], [0.779, 0.221, 0.876], [0.974, 0.026, 0.250]]}

---

[20]
{"formula": "AlP2Se", "functional": "PBE-GGA", "state": "optimized geometry", "total_magnetization_mub_per_atom": 0.00, "formation_energy_uncorrected_mev_per_atom": 71, "de_polymorph_ev_per_fu": 0.94, "lattice_angstrom": [[6.706, -1.822, 0.000], [6.706, 1.822, 0.000], [-0.893, 0.000, 3.426]], "species": ["Al", "P", "P", "Se"], "fractional_positions": [[0.000, 0.000, 0.000], [0.445, 0.445, 0.446], [0.838, 0.838, 0.341], [0.130, 0.130, 0.625]]}